A relaxed structure of Pr8Sm6Mg, computed with GGA-PBE.

## Properties
DOS(E_F): 20.57 states/eV/f.u.
formation enthalpy at 0 K: 0.12 eV per atom
space group: No. 147

a = 9.535 Å, b = 9.535 Å, c = 6.628 Å
α = 90.00°, β = 90.00°, γ = 120.00°
Positions (direct):
Pr 0.039 0.273 0.322
Pr 0.234 0.961 0.322
Pr 0.273 0.234 0.678
Pr 0.333 0.667 0.366
Pr 0.667 0.333 0.634
Pr 0.727 0.766 0.322
Pr 0.766 0.039 0.678
Pr 0.961 0.727 0.678
Sm 0.093 0.444 0.834
Sm 0.351 0.907 0.834
Sm 0.444 0.351 0.166
Sm 0.556 0.649 0.834
Sm 0.649 0.093 0.166
Sm 0.907 0.556 0.166
Mg 0.000 0.000 0.000